Rb3Ho3CrO8 after structural relaxation, computed with PBE with a Hubbard U.

Cell: 6.719 6.719 7.647 Å, 116.03 116.03 59.89°
Element x y z (fractional)
Rb  0.000  0.000  0.000
Rb  0.000  0.500  0.000
Rb  0.500  0.000  0.000
Ho  0.000  0.500  0.500
Ho  0.500  0.000  0.500
Ho  0.500  0.500  0.500
Cr  0.000  0.000  0.500
O  0.202  0.756  0.661
O  0.204  0.204  0.661
O  0.244  0.798  0.339
O  0.276  0.276  0.328
O  0.724  0.724  0.672
O  0.756  0.202  0.661
O  0.796  0.796  0.339
O  0.798  0.244  0.339

Computed properties:
- Calculated density: 6.0 g/cm3
- Symmetry: C2/m (12)
- Electronic total energy: -100.94 eV per formula unit